# Cd2SeCl, optimized geometry, DFT PBE-GGA
data_Cd2SeCl
_chemical_formula_sum 'Cd4 Se2 Cl2'
_space_group_name_H-M_alt 'C m m m'
_space_group_IT_number 65
_space_group_name_Hall '-C 2 2'
_cell_length_a 4.042
_cell_length_b 7.422
_cell_length_c 7.694
_cell_angle_alpha 90.00
_cell_angle_beta 90.00
_cell_angle_gamma 90.00
loop_
_atom_site_label
_atom_site_type_symbol
_atom_site_fract_x
_atom_site_fract_y
_atom_site_fract_z
Cd1 Cd 0.000 0.000 0.235
Se1 Se 0.000 0.500 0.000
Cl1 Cl 0.000 0.500 0.500
# Density of states at the Fermi level ... 1.8 states/eV/cell
# Formation energy (no corrections) ... -0.3555 eV per atom

***

# Ti6Ni2Rh, optimized geometry, DFT PBE-GGA
data_Ti6Ni2Rh
_chemical_formula_sum 'Ti24 Ni8 Rh4'
_space_group_name_H-M_alt 'I m m m'
_space_group_IT_number 71
_space_group_name_Hall '-I 2 2'
_cell_length_a 7.995
_cell_length_b 8.324
_cell_length_c 8.364
_cell_angle_alpha 90.00
_cell_angle_beta 90.00
_cell_angle_gamma 90.00
loop_
_atom_site_label
_atom_site_type_symbol
_atom_site_fract_x
_atom_site_fract_y
_atom_site_fract_z
Ti1 Ti 0.000 0.221 0.178
Ti2 Ti 0.187 0.217 0.500
Ti3 Ti 0.198 0.500 0.251
Ni1 Ni 0.000 0.000 0.360
Ni2 Ni 0.148 0.000 0.000
Rh1 Rh 0.000 0.500 0.000
Rh2 Rh 0.000 0.500 0.500
# Density of states at the Fermi level ... 38.1 states/eV/cell
# Calculated formation energy ... -0.33 eV/atom

***

# LiTb8Bi6, optimized geometry, DFT PBE-GGA
data_LiTb8Bi6
_chemical_formula_sum 'Li3 Tb24 Bi18'
_space_group_name_H-M_alt 'R -3'
_space_group_IT_number 148
_space_group_name_Hall '-R 3'
_cell_length_a 9.2675
_cell_length_b 9.2675
_cell_length_c 19.1807
_cell_angle_alpha 90.00
_cell_angle_beta 90.00
_cell_angle_gamma 120.00
loop_
_atom_site_label
_atom_site_type_symbol
_atom_site_fract_x
_atom_site_fract_y
_atom_site_fract_z
Li1 Li 0.0000 0.0000 0.0000
Tb1 Tb 0.0000 0.0000 0.3320
Tb2 Tb 0.0025 0.2778 0.0902
Bi1 Bi 0.0015 0.3770 0.9215
# Density of states at the Fermi level ... 41.1 states/eV/cell
# Calculated formation energy ... -0.58 eV/atom

***

# BaNpGe2S8, optimized geometry, DFT PBE-GGA
data_BaNpGe2S8
_chemical_formula_sum 'Ba1 Np1 Ge2 S8'
_space_group_name_H-M_alt 'P -3'
_space_group_IT_number 147
_cell_length_a 6.2627
_cell_length_b 6.2627
_cell_length_c 9.0024
_cell_angle_alpha 90.00
_cell_angle_beta 90.00
_cell_angle_gamma 120.00
loop_
_space_group_symop_operation_xyz
'x,y,z'
'-x,-y,-z'
'-y,x-y,z'
'y,-x+y,-z'
'-x+y,-x,z'
'x-y,x,-z'
loop_
_atom_site_label
_atom_site_type_symbol
_atom_site_fract_x
_atom_site_fract_y
_atom_site_fract_z
Ba1 Ba 0.0000 0.0000 0.0000
Np1 Np 0.0000 0.0000 0.5000
Ge1 Ge 0.3333 0.6667 0.7502
S1 S 0.0105 0.6763 0.3286
S2 S 0.3333 0.6667 0.9896
# Density of states at the Fermi level ... 5.8 states/eV/cell
# Formation energy (no corrections) ... -0.7162 eV per atom

***

# CeCuSe, optimized geometry, DFT PBE-GGA
data_CeCuSe
_chemical_formula_sum 'Ce4 Cu4 Se4'
_space_group_name_H-M_alt 'C 1 2/m 1'
_space_group_IT_number 12
_cell_length_a 15.232
_cell_length_b 3.694
_cell_length_c 4.589
_cell_angle_alpha 90.00
_cell_angle_beta 90.54
_cell_angle_gamma 90.00
loop_
_space_group_symop_operation_xyz
'x,y,z'
'-x,-y,-z'
'-x,y,-z'
'x,-y,z'
'x+1/2,y+1/2,z'
'-x+1/2,-y+1/2,-z'
'-x+1/2,y+1/2,-z'
'x+1/2,-y+1/2,z'
loop_
_atom_site_label
_atom_site_type_symbol
_atom_site_fract_x
_atom_site_fract_y
_atom_site_fract_z
Ce1 Ce 0.104 0.000 0.253
Cu1 Cu 0.240 0.000 0.757
Se1 Se 0.081 0.500 0.752
# Density of states at the Fermi level ... 22.0 states/eV/cell
# Formation energy (no corrections) ... -0.7538 eV per atom

***

# YIr2F, optimized geometry, DFT PBE-GGA
data_YIr2F
_chemical_formula_sum 'Y4 Ir8 F4'
_space_group_name_H-M_alt 'F m -3 m'
_space_group_IT_number 225
_space_group_name_Hall '-F 4 2 3'
_cell_length_a 6.485
_cell_length_b 6.485
_cell_length_c 6.485
_cell_angle_alpha 90.00
_cell_angle_beta 90.00
_cell_angle_gamma 90.00
loop_
_atom_site_label
_atom_site_type_symbol
_atom_site_fract_x
_atom_site_fract_y
_atom_site_fract_z
Y1 Y 0.000 0.000 0.000
Ir1 Ir 0.250 0.250 0.250
F1 F 0.000 0.000 0.500
# Density of states at the Fermi level ... 18.4 states/eV/cell
# Formation energy (no corrections) ... 0.1217 eV per atom

***

# PrNdTh4, optimized geometry, DFT PBE-GGA
data_PrNdTh4
_chemical_formula_sum 'Pr4 Nd4 Th16'
_space_group_name_H-M_alt 'F -4 3 m'
_space_group_IT_number 216
_space_group_name_Hall 'F -4 2 3'
_cell_length_a 9.457
_cell_length_b 9.457
_cell_length_c 9.457
_cell_angle_alpha 90.00
_cell_angle_beta 90.00
_cell_angle_gamma 90.00
loop_
_atom_site_label
_atom_site_type_symbol
_atom_site_fract_x
_atom_site_fract_y
_atom_site_fract_z
Pr1 Pr 0.000 0.000 0.000
Nd1 Nd 0.250 0.250 0.750
Th1 Th 0.125 0.125 0.375
# Density of states at the Fermi level ... 54.6 states/eV/cell
# Calculated formation energy ... 0.26 eV/atom

***

# Er3Tm3Sc2, optimized geometry, DFT PBE-GGA
data_Er3Tm3Sc2
_chemical_formula_sum 'Er6 Tm6 Sc4'
_space_group_name_H-M_alt 'C 1 2/m 1'
_space_group_IT_number 12
_cell_length_a 16.814
_cell_length_b 5.344
_cell_length_c 5.491
_cell_angle_alpha 90.00
_cell_angle_beta 108.73
_cell_angle_gamma 90.00
loop_
_space_group_symop_operation_xyz
'x,y,z'
'-x,-y,-z'
'-x,y,-z'
'x,-y,z'
'x+1/2,y+1/2,z'
'-x+1/2,-y+1/2,-z'
'-x+1/2,y+1/2,-z'
'x+1/2,-y+1/2,z'
loop_
_atom_site_label
_atom_site_type_symbol
_atom_site_fract_x
_atom_site_fract_y
_atom_site_fract_z
Er1 Er 0.000 0.000 0.000
Er2 Er 0.140 0.000 0.677
Tm1 Tm 0.000 0.500 0.500
Tm2 Tm 0.139 0.500 0.104
Sc1 Sc 0.250 0.000 0.300
# Density of states at the Fermi level ... 34.7 states/eV/cell
# Calculated formation energy ... 0.10 eV/atom

***

# Ac4La9Pr11, optimized geometry, DFT PBE-GGA
data_Ac4La9Pr11
_chemical_formula_sum 'Ac8 La18 Pr22'
_space_group_name_H-M_alt 'C m m m'
_space_group_IT_number 65
_space_group_name_Hall '-C 2 2'
_cell_length_a 17.480
_cell_length_b 27.703
_cell_length_c 3.803
_cell_angle_alpha 90.00
_cell_angle_beta 90.00
_cell_angle_gamma 90.00
loop_
_atom_site_label
_atom_site_type_symbol
_atom_site_fract_x
_atom_site_fract_y
_atom_site_fract_z
Ac1 Ac 0.172 0.085 0.000
La1 La 0.000 0.000 0.000
La2 La 0.106 0.405 0.000
La3 La 0.109 0.219 0.000
Pr1 Pr 0.000 0.124 0.500
Pr2 Pr 0.000 0.312 0.500
Pr3 Pr 0.000 0.500 0.500
Pr4 Pr 0.205 0.500 0.500
Pr5 Pr 0.216 0.315 0.500
# Density of states at the Fermi level ... 77.4 states/eV/cell
# Calculated formation energy ... 0.04 eV/atom

***

# Sc2PaSb, optimized geometry, DFT PBE-GGA
data_Sc2PaSb
_chemical_formula_sum 'Sc2 Pa1 Sb1'
_space_group_name_H-M_alt 'P 4/m m m'
_space_group_IT_number 123
_space_group_name_Hall '-P 4 2'
_cell_length_a 4.661
_cell_length_b 4.661
_cell_length_c 4.238
_cell_angle_alpha 90.00
_cell_angle_beta 90.00
_cell_angle_gamma 90.00
loop_
_atom_site_label
_atom_site_type_symbol
_atom_site_fract_x
_atom_site_fract_y
_atom_site_fract_z
Sc1 Sc 0.000 0.500 0.000
Pa1 Pa 0.000 0.000 0.500
Sb1 Sb 0.500 0.500 0.500
# Density of states at the Fermi level ... 4.6 states/eV/cell
# Formation energy (no corrections) ... -0.3408 eV per atom

***

# YHfTlCd, optimized geometry, DFT PBE-GGA
data_YHfTlCd
_chemical_formula_sum 'Y4 Hf4 Tl4 Cd4'
_space_group_name_H-M_alt 'F -4 3 m'
_space_group_IT_number 216
_space_group_name_Hall 'F -4 2 3'
_cell_length_a 7.275
_cell_length_b 7.275
_cell_length_c 7.275
_cell_angle_alpha 90.00
_cell_angle_beta 90.00
_cell_angle_gamma 90.00
loop_
_atom_site_label
_atom_site_type_symbol
_atom_site_fract_x
_atom_site_fract_y
_atom_site_fract_z
Y1 Y 0.000 0.000 0.000
Hf1 Hf 0.000 0.000 0.500
Tl1 Tl 0.250 0.250 0.250
Cd1 Cd 0.250 0.250 0.750
# Density of states at the Fermi level ... 14.9 states/eV/cell
# Calculated formation energy ... -0.06 eV/atom

***

# Ca2CdB2Rh5, optimized geometry, DFT PBE-GGA
data_Ca2CdB2Rh5
_chemical_formula_sum 'Ca4 Cd2 B4 Rh10'
_space_group_name_H-M_alt 'P 4/m b m'
_space_group_IT_number 127
_space_group_name_Hall '-P 4 2ab'
_cell_length_a 9.982
_cell_length_b 9.982
_cell_length_c 3.020
_cell_angle_alpha 90.00
_cell_angle_beta 90.00
_cell_angle_gamma 90.00
loop_
_atom_site_label
_atom_site_type_symbol
_atom_site_fract_x
_atom_site_fract_y
_atom_site_fract_z
Ca1 Ca 0.178 0.322 0.000
Cd1 Cd 0.000 0.000 0.000
B1 B 0.122 0.622 0.000
Rh1 Rh 0.000 0.500 0.500
Rh2 Rh 0.069 0.769 0.500
# Density of states at the Fermi level ... 5.8 states/eV/cell
# Calculated formation energy ... -0.51 eV/atom

***

# Fe2AgPb, optimized geometry, DFT PBE-GGA
data_Fe2AgPb
_chemical_formula_sum 'Fe2 Ag1 Pb1'
_space_group_name_H-M_alt 'P 4/m m m'
_space_group_IT_number 123
_space_group_name_Hall '-P 4 2'
_cell_length_a 3.454
_cell_length_b 3.454
_cell_length_c 5.939
_cell_angle_alpha 90.00
_cell_angle_beta 90.00
_cell_angle_gamma 90.00
loop_
_atom_site_label
_atom_site_type_symbol
_atom_site_fract_x
_atom_site_fract_y
_atom_site_fract_z
Fe1 Fe 0.000 0.000 0.203
Ag1 Ag 0.500 0.500 0.000
Pb1 Pb 0.500 0.500 0.500
# Density of states at the Fermi level ... 3.3 states/eV/cell
# Calculated formation energy ... 0.56 eV/atom

***

# NdGdTmAl, optimized geometry, DFT PBE-GGA
data_NdGdTmAl
_chemical_formula_sum 'Nd4 Gd4 Tm4 Al4'
_space_group_name_H-M_alt 'F -4 3 m'
_space_group_IT_number 216
_space_group_name_Hall 'F -4 2 3'
_cell_length_a 7.629
_cell_length_b 7.629
_cell_length_c 7.629
_cell_angle_alpha 90.00
_cell_angle_beta 90.00
_cell_angle_gamma 90.00
loop_
_atom_site_label
_atom_site_type_symbol
_atom_site_fract_x
_atom_site_fract_y
_atom_site_fract_z
Nd1 Nd 0.000 0.000 0.000
Gd1 Gd 0.000 0.000 0.500
Tm1 Tm 0.250 0.250 0.250
Al1 Al 0.250 0.250 0.750
# Density of states at the Fermi level ... 21.0 states/eV/cell
# Calculated formation energy ... -0.08 eV/atom

***

# SmUIrRh, optimized geometry, DFT PBE-GGA
data_SmUIrRh
_chemical_formula_sum 'Sm4 U4 Ir4 Rh4'
_space_group_name_H-M_alt 'F -4 3 m'
_space_group_IT_number 216
_space_group_name_Hall 'F -4 2 3'
_cell_length_a 6.916
_cell_length_b 6.916
_cell_length_c 6.916
_cell_angle_alpha 90.00
_cell_angle_beta 90.00
_cell_angle_gamma 90.00
loop_
_atom_site_label
_atom_site_type_symbol
_atom_site_fract_x
_atom_site_fract_y
_atom_site_fract_z
Sm1 Sm 0.000 0.000 0.000
U1 U 0.000 0.000 0.500
Ir1 Ir 0.250 0.250 0.250
Rh1 Rh 0.250 0.250 0.750
# Density of states at the Fermi level ... 16.1 states/eV/cell
# Calculated formation energy ... -0.49 eV/atom

***

# LaNd3Ir8, optimized geometry, DFT PBE-GGA
data_LaNd3Ir8
_chemical_formula_sum 'La3 Nd9 Ir24'
_space_group_name_H-M_alt 'R 3 m'
_space_group_IT_number 160
_space_group_name_Hall 'R 3 -2"'
_cell_length_a 5.4507
_cell_length_b 5.4507
_cell_length_c 26.6712
_cell_angle_alpha 90.00
_cell_angle_beta 90.00
_cell_angle_gamma 120.00
loop_
_atom_site_label
_atom_site_type_symbol
_atom_site_fract_x
_atom_site_fract_y
_atom_site_fract_z
La1 La 0.0000 0.0000 0.0000
Nd1 Nd 0.0000 0.0000 0.1249
Nd2 Nd 0.0000 0.0000 0.4999
Nd3 Nd 0.0000 0.0000 0.6248
Ir1 Ir 0.0000 0.0000 0.3124
Ir2 Ir 0.0000 0.0000 0.8125
Ir3 Ir 0.0000 0.5000 0.0628
Ir4 Ir 0.9997 0.4998 0.5621
# Density of states at the Fermi level ... 27.8 states/eV/cell
# Calculated formation energy ... -0.70 eV/atom

***

# HgMoW2, optimized geometry, DFT PBE-GGA
data_HgMoW2
_chemical_formula_sum 'Hg1 Mo1 W2'
_space_group_name_H-M_alt 'P 4 m m'
_space_group_IT_number 99
_cell_length_a 3.366
_cell_length_b 3.366
_cell_length_c 6.123
_cell_angle_alpha 90.00
_cell_angle_beta 90.00
_cell_angle_gamma 90.00
loop_
_space_group_symop_operation_xyz
'x,y,z'
'-y,x,z'
'-x,-y,z'
'y,-x,z'
'-x,y,z'
'y,x,z'
'x,-y,z'
'-y,-x,z'
loop_
_atom_site_label
_atom_site_type_symbol
_atom_site_fract_x
_atom_site_fract_y
_atom_site_fract_z
Hg1 Hg 0.000 0.000 0.000
Mo1 Mo 0.500 0.500 0.280
W1 W 0.000 0.000 0.499
W2 W 0.500 0.500 0.716
# Density of states at the Fermi level ... 3.6 states/eV/cell
# Calculated formation energy ... 0.49 eV/atom

***

# Nd3AlTl4Se8, optimized geometry, DFT PBE-GGA
data_Nd3AlTl4Se8
_chemical_formula_sum 'Nd9 Al3 Tl12 Se24'
_space_group_name_H-M_alt 'R -3 m'
_space_group_IT_number 166
_space_group_name_Hall '-R 3 2"'
_cell_length_a 8.4402
_cell_length_b 8.4402
_cell_length_c 23.2614
_cell_angle_alpha 90.00
_cell_angle_beta 90.00
_cell_angle_gamma 120.00
loop_
_atom_site_label
_atom_site_type_symbol
_atom_site_fract_x
_atom_site_fract_y
_atom_site_fract_z
Nd1 Nd 0.0000 0.5000 0.0000
Al1 Al 0.0000 0.0000 0.0000
Tl1 Tl 0.0000 0.0000 0.5000
Tl2 Tl 0.0000 0.5000 0.5000
Se1 Se 0.0000 0.0000 0.2619
Se2 Se 0.0297 0.5148 0.7328
# Density of states at the Fermi level ... 1.3 states/eV/cell
# Formation energy (no corrections) ... -1.1464 eV per atom

***

# CuSbRh2, optimized geometry, DFT PBE-GGA
data_CuSbRh2
_chemical_formula_sum 'Cu4 Sb4 Rh8'
_space_group_name_H-M_alt 'I -4 2 d'
_space_group_IT_number 122
_space_group_name_Hall 'I -4 2bw'
_cell_length_a 3.908
_cell_length_b 3.908
_cell_length_c 17.784
_cell_angle_alpha 90.00
_cell_angle_beta 90.00
_cell_angle_gamma 90.00
loop_
_atom_site_label
_atom_site_type_symbol
_atom_site_fract_x
_atom_site_fract_y
_atom_site_fract_z
Cu1 Cu 0.000 0.000 0.000
Sb1 Sb 0.000 0.000 0.500
Rh1 Rh 0.220 0.250 0.125
# Density of states at the Fermi level ... 18.1 states/eV/cell
# Formation energy (no corrections) ... 0.1303 eV per atom

***

# La2MnGaC, optimized geometry, DFT PBE-GGA
data_La2MnGaC
_chemical_formula_sum 'La2 Mn1 Ga1 C1'
_space_group_name_H-M_alt 'P 4/m m m'
_space_group_IT_number 123
_space_group_name_Hall '-P 4 2'
_cell_length_a 5.369
_cell_length_b 5.369
_cell_length_c 3.815
_cell_angle_alpha 90.00
_cell_angle_beta 90.00
_cell_angle_gamma 90.00
loop_
_atom_site_label
_atom_site_type_symbol
_atom_site_fract_x
_atom_site_fract_y
_atom_site_fract_z
La1 La 0.000 0.500 0.000
Mn1 Mn 0.000 0.000 0.500
Ga1 Ga 0.500 0.500 0.500
C1 C 0.000 0.000 0.000
# Density of states at the Fermi level ... 4.3 states/eV/cell
# Calculated formation energy ... -0.24 eV/atom